Record 1
Ti2Ru4Au | PBE | relaxed

Geometry as POSCAR:
```
Ti2Ru4Au
1.0
-3.208 3.435 -1.078
-1.749 -2.750 -3.554
-6.511 -2.186 1.625
Au Ru Ti
1 4 2
Direct
0.000 0.000 0.000 Au
0.215 0.215 0.571 Ru
0.000 0.500 0.000 Ru
0.500 0.000 0.000 Ru
0.785 0.785 0.429 Ru
0.615 0.615 0.770 Ti
0.385 0.385 0.230 Ti
```

Summary:
**Total DFT energy (no corrections)**: -6.781 eV/atom
**Calculated volume**: 20.5 Å³ per atom
**Size of the total moment**: 0.501 μB per atom
**ΔE_f**: 1.24 eV per atom

Record 2
Ti2Ru2Au | PBE | relaxed

Geometry as POSCAR:
```
Ti2Ru2Au
1.0
7.323 0.000 0.000
0.000 7.323 0.000
0.000 0.000 2.969
Ti Ru Au
4 4 2
Direct
0.645 0.145 0.000 Ti
0.855 0.645 0.000 Ti
0.355 0.855 0.000 Ti
0.145 0.355 0.000 Ti
0.851 0.351 0.500 Ru
0.351 0.149 0.500 Ru
0.149 0.649 0.500 Ru
0.649 0.851 0.500 Ru
0.000 0.000 0.000 Au
0.500 0.500 0.000 Au
```

Summary:
**Total DFT energy (no corrections)**: -7.762 eV/atom
**Calculated volume**: 15.9 Å³ per atom
**Energy above the most stable polymorph in this dataset**: 114 meV per atom
**Size of the total moment**: 0.000 μB per atom
**ΔE_f**: -0.24 eV per atom

Record 3
Ti3RuAu | PBE | relaxed

Geometry as POSCAR:
```
Ti3RuAu
1.0
-3.936 -2.223 1.168
0.532 -2.859 -3.652
2.454 -2.946 2.664
Ru Ti Au
1 3 1
Direct
0.000 0.000 0.000 Ru
0.000 0.500 0.000 Ti
0.000 0.000 0.500 Ti
0.500 0.000 0.000 Ti
0.500 0.500 0.500 Au
```

Summary:
**Total DFT energy (no corrections)**: -6.923 eV/atom
**Calculated volume**: 20.4 Å³ per atom
**Energy above the most stable polymorph in this dataset**: 0 meV per atom
**Size of the total moment**: 0.333 μB per atom
**ΔE_f**: 0.32 eV per atom

Record 4
Ti3RuAu | PBE | relaxed

Geometry as POSCAR:
```
Ti3RuAu
1.0
-3.169 3.166 -1.674
-1.798 -3.340 -2.912
-3.097 -1.301 3.404
Ru Ti Au
1 3 1
Direct
0.500 0.500 0.500 Ru
0.000 0.000 0.500 Ti
0.000 0.500 0.000 Ti
0.500 0.000 0.000 Ti
0.000 0.000 0.000 Au
```

Summary:
**Total DFT energy (no corrections)**: -6.114 eV/atom
**Calculated volume**: 21.9 Å³ per atom
**Energy above the most stable polymorph in this dataset**: 809 meV per atom
**Size of the total moment**: 0.045 μB per atom
**ΔE_f**: 1.13 eV per atom